1.
Hf2Zr4Pb3N3 after structural relaxation. Source: the Open Quantum Materials Database, functional PBE.

POSCAR file:
```
Hf2Zr4Pb3N3
1.0
4.999 -2.888 0.000
4.999 2.888 0.000
-3.333 0.000 14.856
Hf Zr Pb N
4 8 6 6
direct
0.026 0.855 0.581 Hf
0.145 0.974 0.919 Hf
0.855 0.026 0.081 Hf
0.974 0.145 0.419 Hf
0.194 0.367 0.084 Zr
0.311 0.466 0.417 Zr
0.367 0.194 0.584 Zr
0.466 0.311 0.917 Zr
0.534 0.689 0.083 Zr
0.633 0.806 0.416 Zr
0.689 0.534 0.583 Zr
0.806 0.633 0.916 Zr
0.083 0.247 0.749 Pb
0.247 0.083 0.249 Pb
0.414 0.586 0.750 Pb
0.586 0.414 0.250 Pb
0.753 0.917 0.751 Pb
0.917 0.753 0.251 Pb
0.000 0.500 0.500 N
0.159 0.684 0.000 N
0.316 0.841 0.500 N
0.500 0.000 0.000 N
0.684 0.159 0.500 N
0.841 0.316 0.000 N
```

## Properties
space-group type	C2/c, No. 15
total DFT energy (no corrections)	-8.449	eV per atom
calculated volume	17.88	A^3/atom

=====

2.
Hf3Pd4N4 after structural relaxation. Source: the Open Quantum Materials Database, functional PBE.

POSCAR file:
```
Hf3Pd4N4
1.0
6.424 0.000 0.000
0.000 3.214 0.000
-2.134 0.000 7.491
Hf Pd N
3 4 4
direct
0.000 0.000 0.000 Hf
0.212 0.000 0.411 Hf
0.643 0.500 0.562 Hf
0.103 0.500 0.727 Pd
0.378 0.500 0.104 Pd
0.536 0.000 0.872 Pd
0.763 0.000 0.255 Pd
0.055 0.500 0.190 N
0.328 0.500 0.582 N
0.518 0.000 0.381 N
0.810 0.000 0.743 N
```

## Properties
space-group type	Pm, No. 6
total DFT energy (no corrections)	-8.276	eV per atom
calculated volume	14.06	A^3/atom

=====

3.
Hf2ZrPd4N4 after structural relaxation. Source: the Open Quantum Materials Database, functional PBE.

POSCAR file:
```
Hf2ZrPd4N4
1.0
6.421 0.000 0.000
0.000 3.233 0.000
-2.075 0.000 7.550
Hf Zr Pd N
2 1 4 4
direct
0.000 0.000 0.000 Hf
0.354 0.500 0.433 Hf
0.568 0.500 0.846 Zr
0.119 0.500 0.688 Pd
0.461 0.000 0.165 Pd
0.731 0.000 0.543 Pd
0.886 0.500 0.309 Pd
0.160 0.500 0.180 N
0.406 0.000 0.619 N
0.686 0.000 0.020 N
0.881 0.500 0.819 N
```

## Properties
space-group type	Pm, No. 6
total DFT energy (no corrections)	-8.119	eV per atom
calculated volume	14.25	A^3/atom

=====

4.
Pm2HfN3 after structural relaxation. Source: the Open Quantum Materials Database, functional PBE.

POSCAR file:
```
Pm2HfN3
1.0
3.416 0.000 0.000
-1.708 2.958 0.000
0.000 0.000 8.610
Pm Hf N
2 1 3
direct
0.333 0.667 0.329 Pm
0.667 0.333 0.671 Pm
0.000 0.000 0.000 Hf
0.000 0.000 0.500 N
0.333 0.667 0.864 N
0.667 0.333 0.136 N
```

## Properties
space-group type	P-3m1, No. 164
total DFT energy (no corrections)	-8.970	eV per atom
calculated volume	14.50	A^3/atom

=====

5.
PmHfN2 after structural relaxation. Source: the Open Quantum Materials Database, functional PBE.

POSCAR file:
```
PmHfN2
1.0
3.327 0.000 0.000
-1.664 2.881 0.000
0.000 0.000 17.021
Pm Hf N
3 3 6
direct
0.000 0.000 0.000 Pm
0.333 0.667 0.667 Pm
0.667 0.333 0.333 Pm
0.000 0.000 0.500 Hf
0.333 0.667 0.167 Hf
0.667 0.333 0.833 Hf
0.000 0.000 0.237 N
0.000 0.000 0.763 N
0.333 0.667 0.430 N
0.333 0.667 0.904 N
0.667 0.333 0.096 N
0.667 0.333 0.570 N
```

## Properties
space-group type	R-3m, No. 166
total DFT energy (no corrections)	-9.497	eV per atom
calculated volume	13.60	A^3/atom

=====

6.
Pr2HfN3 after structural relaxation. Source: the Open Quantum Materials Database, functional PBE.

POSCAR file:
```
Pr2HfN3
1.0
3.449 0.000 0.000
-1.725 2.987 0.000
0.000 0.000 8.789
Pr Hf N
2 1 3
direct
0.333 0.667 0.328 Pr
0.667 0.333 0.672 Pr
0.000 0.000 0.000 Hf
0.000 0.000 0.500 N
0.333 0.667 0.869 N
0.667 0.333 0.131 N
```

## Properties
space-group type	P-3m1, No. 164
total DFT energy (no corrections)	-8.859	eV per atom
calculated volume	15.09	A^3/atom

=====

7.
Pr3Hf3W2N12 after structural relaxation. Source: the Open Quantum Materials Database, functional PBE.

POSCAR file:
```
Pr3Hf3W2N12
1.0
-6.577 6.577 6.577
6.577 -6.577 6.577
6.577 6.577 -6.577
Pr Hf W N
12 12 8 48
direct
0.125 0.250 0.375 Pr
0.125 0.375 0.750 Pr
0.250 0.375 0.125 Pr
0.250 0.875 0.625 Pr
0.375 0.125 0.250 Pr
0.375 0.750 0.125 Pr
0.625 0.250 0.875 Pr
0.625 0.875 0.750 Pr
0.750 0.125 0.375 Pr
0.750 0.625 0.875 Pr
0.875 0.625 0.250 Pr
0.875 0.750 0.625 Pr
0.125 0.750 0.875 Hf
0.125 0.875 0.250 Hf
0.250 0.125 0.875 Hf
0.250 0.625 0.375 Hf
0.375 0.250 0.625 Hf
0.375 0.625 0.750 Hf
0.625 0.375 0.250 Hf
0.625 0.750 0.375 Hf
0.750 0.375 0.625 Hf
0.750 0.875 0.125 Hf
0.875 0.125 0.750 Hf
0.875 0.250 0.125 Hf
0.000 0.000 0.000 W
0.000 0.000 0.500 W
0.000 0.500 0.000 W
0.000 0.500 0.500 W
0.500 0.000 0.000 W
0.500 0.000 0.500 W
0.500 0.500 0.000 W
0.500 0.500 0.500 W
0.023 0.195 0.113 N
0.023 0.329 0.910 N
0.082 0.695 0.671 N
0.082 0.887 0.410 N
0.090 0.613 0.418 N
0.090 0.977 0.671 N
0.113 0.023 0.195 N
0.113 0.590 0.918 N
0.171 0.195 0.582 N
0.171 0.477 0.590 N
0.195 0.113 0.023 N
0.195 0.582 0.171 N
0.305 0.329 0.918 N
0.305 0.477 0.387 N
0.329 0.910 0.023 N
0.329 0.918 0.305 N
0.387 0.305 0.477 N
0.387 0.582 0.910 N
0.410 0.082 0.887 N
0.410 0.829 0.523 N
0.418 0.090 0.613 N
0.418 0.829 0.805 N
0.477 0.387 0.305 N
0.477 0.590 0.171 N
0.523 0.410 0.829 N
0.523 0.613 0.695 N
0.582 0.171 0.195 N
0.582 0.910 0.387 N
0.590 0.171 0.477 N
0.590 0.918 0.113 N
0.613 0.418 0.090 N
0.613 0.695 0.523 N
0.671 0.082 0.695 N
0.671 0.090 0.977 N
0.695 0.523 0.613 N
0.695 0.671 0.082 N
0.805 0.418 0.829 N
0.805 0.887 0.977 N
0.829 0.523 0.410 N
0.829 0.805 0.418 N
0.887 0.410 0.082 N
0.887 0.977 0.805 N
0.910 0.023 0.329 N
0.910 0.387 0.582 N
0.918 0.113 0.590 N
0.918 0.305 0.329 N
0.977 0.671 0.090 N
0.977 0.805 0.887 N
```

## Properties
space-group type	Ia-3d, No. 230
total DFT energy (no corrections)	-9.325	eV per atom
calculated volume	14.23	A^3/atom

=====

8.
RbHf3N5 after structural relaxation. Source: the Open Quantum Materials Database, functional PBE.

POSCAR file:
```
RbHf3N5
1.0
5.594 0.000 0.000
-2.797 4.845 0.000
0.000 0.000 6.073
Rb Hf N
1 3 5
direct
0.000 0.000 0.000 Rb
0.000 0.500 0.500 Hf
0.500 0.000 0.500 Hf
0.500 0.500 0.500 Hf
0.000 0.000 0.500 N
0.333 0.667 0.279 N
0.333 0.667 0.721 N
0.667 0.333 0.279 N
0.667 0.333 0.721 N
```

## Properties
space-group type	P6/mmm, No. 191
total DFT energy (no corrections)	-8.133	eV per atom
calculated volume	18.29	A^3/atom